VASP calculation (PBE) on a relaxed structure of Zr2Ga3Cu2.

Lattice parameters (Å, degrees): 4.0834 6.5203 9.0318 90.00 103.07 90.00
Sites, in units of the cell vectors:
Cu 0.3044 0.4485 0.6088
Cu 0.3044 0.0515 0.6088
Cu 0.6956 0.9485 0.3912
Cu 0.6956 0.5515 0.3912
Ga 0.2156 0.7500 0.4312
Ga 0.4347 0.5589 0.8695
Ga 0.7844 0.2500 0.5688
Ga 0.5653 0.0589 0.1305
Ga 0.5653 0.4411 0.1305
Ga 0.4347 0.9411 0.8695
Zr 0.9565 0.2500 0.9130
Zr 0.0435 0.7500 0.0870
Zr 0.8439 0.7500 0.6877
Zr 0.1561 0.2500 0.3123

E: -5.35 eV/atom
Formation energy: -443 meV/atom
M_tot: 0.00 μB/f.u.
DOS at the Fermi energy: 0.27 states/eV per atom